1.
VASP calculation (PBE) on RbTi after structural relaxation.

Properties
SG: Pnma (62)
Polymorph energy (0 for the lowest one) (eV/atom): 0.207
Total magnetization (μB per formula unit): 0.00

Cell lengths 12.363, 4.550, 12.806 Å; angles 90.00, 90.00, 90.00 degrees
Atoms (fractional coordinates):
Rb: 0.114 0.250 0.249
Rb: 0.156 0.250 0.913
Rb: 0.344 0.750 0.413
Rb: 0.386 0.750 0.749
Rb: 0.614 0.250 0.251
Rb: 0.656 0.250 0.587
Rb: 0.844 0.750 0.087
Rb: 0.886 0.750 0.751
Ti: 0.041 0.750 0.516
Ti: 0.130 0.250 0.584
Ti: 0.370 0.750 0.084
Ti: 0.459 0.250 0.016
Ti: 0.541 0.750 0.984
Ti: 0.630 0.250 0.916
Ti: 0.870 0.750 0.416
Ti: 0.959 0.250 0.484



2.
VASP calculation (PBE) on RbTi after structural relaxation.

Properties
SG: P6_3mc (186)
Polymorph energy (0 for the lowest one) (eV/atom): 0.694
Total magnetization (μB per formula unit): 1.31

Cell lengths 3.224, 3.224, 13.391 Å; angles 90.00, 90.00, 120.00 degrees
Atoms (fractional coordinates):
Rb: 0.333 0.667 0.000
Rb: 0.667 0.333 0.500
Ti: 0.333 0.667 0.751
Ti: 0.667 0.333 0.251



3.
VASP calculation (PBE) on RbTi after structural relaxation.

Properties
SG: Pm-3n (223)
Polymorph energy (0 for the lowest one) (eV/atom): 1.535
Total magnetization (μB per formula unit): 3.01

Cell lengths 11.085, 11.085, 11.085 Å; angles 90.00, 90.00, 90.00 degrees
Atoms (fractional coordinates):
Rb: 0.000 0.250 0.500
Rb: 0.000 0.750 0.500
Rb: 0.250 0.500 0.000
Rb: 0.500 0.000 0.250
Rb: 0.500 0.000 0.750
Rb: 0.750 0.500 0.000
Ti: 0.000 0.500 0.250
Ti: 0.000 0.500 0.750
Ti: 0.250 0.000 0.500
Ti: 0.500 0.250 0.000
Ti: 0.500 0.750 0.000
Ti: 0.750 0.000 0.500



4.
VASP calculation (PBE) on RbTi after structural relaxation.

Properties
SG: Amm2 (38)
Polymorph energy (0 for the lowest one) (eV/atom): 0.312
Total magnetization (μB per formula unit): 0.00

Cell lengths 4.337, 8.823, 8.823 Å; angles 125.96, 90.00, 90.00 degrees
Atoms (fractional coordinates):
Rb: 0.000 0.000 0.000
Rb: 0.500 0.510 0.993
Rb: 0.500 0.993 0.510
Ti: 0.000 0.402 0.561
Ti: 0.000 0.561 0.402
Ti: 0.500 0.525 0.525



5.
VASP calculation (PBE) on RbTi after structural relaxation.

Properties
SG: Pm (6)
Polymorph energy (0 for the lowest one) (eV/atom): 0.699
Total magnetization (μB per formula unit): 1.22

Cell lengths 3.196, 6.695, 3.196 Å; angles 90.00, 119.99, 90.00 degrees
Atoms (fractional coordinates):
Rb: 0.000 0.000 0.000
Ti: 0.044 0.500 0.060



6.
VASP calculation (PBE) on RbTi after structural relaxation.

Properties
SG: Fddd (70)
Polymorph energy (0 for the lowest one) (eV/atom): 0.638
Total magnetization (μB per formula unit): 1.16

Cell lengths 10.298, 9.308, 6.698 Å; angles 78.22, 62.23, 39.55 degrees
Atoms (fractional coordinates):
Rb: 0.039 0.711 0.039
Rb: 0.289 0.961 0.289
Rb: 0.711 0.039 0.711
Rb: 0.961 0.289 0.961
Ti: 0.315 0.315 0.435
Ti: 0.435 0.435 0.315
Ti: 0.565 0.565 0.685
Ti: 0.685 0.685 0.565



7.
VASP calculation (PBE) on RbTi after structural relaxation.

Properties
SG: P-1 (2)
Polymorph energy (0 for the lowest one) (eV/atom): 0.531
Total magnetization (μB per formula unit): 0.00

Cell lengths 4.146, 6.827, 7.205 Å; angles 118.24, 106.64, 90.11 degrees
Atoms (fractional coordinates):
Rb: 0.093 0.343 0.187
Rb: 0.907 0.657 0.813
Ti: 0.288 0.040 0.577
Ti: 0.712 0.960 0.423



8.
VASP calculation (PBE) on RbTi after structural relaxation.

Properties
SG: P6_3/m (176)
Polymorph energy (0 for the lowest one) (eV/atom): 0.542
Total magnetization (μB per formula unit): 0.41

Cell lengths 14.948, 14.948, 3.111 Å; angles 90.00, 90.00, 120.00 degrees
Atoms (fractional coordinates):
Rb: 0.140 0.370 0.250
Rb: 0.230 0.860 0.250
Rb: 0.370 0.230 0.750
Rb: 0.630 0.770 0.250
Rb: 0.770 0.140 0.750
Rb: 0.860 0.630 0.750
Ti: 0.066 0.569 0.250
Ti: 0.431 0.498 0.250
Ti: 0.498 0.066 0.750
Ti: 0.502 0.934 0.250
Ti: 0.569 0.502 0.750
Ti: 0.934 0.431 0.750



9.
VASP calculation (PBE) on RbTi after structural relaxation.

Properties
SG: Fm-3m (225)
Polymorph energy (0 for the lowest one) (eV/atom): 1.299
Total magnetization (μB per formula unit): 3.02

Cell lengths 5.411, 5.411, 5.411 Å; angles 60.00, 60.00, 60.00 degrees
Atoms (fractional coordinates):
Rb: 0.000 0.000 0.000
Ti: 0.500 0.500 0.500



10.
VASP calculation (PBE) on RbTi after structural relaxation.

Properties
SG: P3m1 (156)
Polymorph energy (0 for the lowest one) (eV/atom): 0.521
Total magnetization (μB per formula unit): 0.00

Cell lengths 6.686, 6.686, 4.801 Å; angles 90.00, 90.00, 120.00 degrees
Atoms (fractional coordinates):
Rb: 0.000 0.000 0.000
Rb: 0.333 0.667 0.507
Ti: 0.667 0.333 0.007
Ti: 0.667 0.333 0.592



11.
VASP calculation (PBE) on RbTi after structural relaxation.

Properties
SG: F-43m (216)
Polymorph energy (0 for the lowest one) (eV/atom): 1.524
Total magnetization (μB per formula unit): 3.01

Cell lengths 6.376, 6.376, 6.376 Å; angles 60.00, 60.00, 60.00 degrees
Atoms (fractional coordinates):
Rb: 0.000 0.000 0.000
Ti: 0.250 0.250 0.250



12.
VASP calculation (PBE) on RbTi after structural relaxation.

Properties
SG: P-1 (2)
Polymorph energy (0 for the lowest one) (eV/atom): 0.397
Total magnetization (μB per formula unit): 0.40

Cell lengths 3.196, 7.136, 7.137 Å; angles 107.03, 94.35, 94.31 degrees
Atoms (fractional coordinates):
Rb: 0.003 0.310 0.190
Rb: 0.997 0.690 0.810
Ti: 0.358 0.115 0.616
Ti: 0.642 0.885 0.384



no.,energy of formation from the pure elements (eV/atom)
1,0.86
2,1.34
3,2.18
4,0.96
5,1.35
6,1.29
7,1.18
8,1.19
9,1.95
10,1.17
11,2.17
12,1.05